Density functional theory data (GGA+U) for a relaxed structure of CrGeOsO6.

Geometry as extended XYZ:
```
18
Lattice="4.528 0.000 0.000 0.000 4.528 0.000 0.000 0.000 9.194" Properties=species:S:1:pos:R:3 pbc="T T T"
O 3.667 0.861 1.561
O 1.362 1.362 9.160
O 3.125 3.125 6.158
O 0.902 3.626 4.563
O 3.620 0.908 7.666
O 0.861 3.667 1.561
O 0.908 3.620 7.666
O 3.172 3.172 3.069
O 1.356 1.356 3.069
O 1.403 1.403 6.158
O 3.626 0.902 4.563
O 3.166 3.166 9.160
Ge 0.000 0.000 3.052
Ge 2.264 2.264 7.649
Os 2.264 2.264 4.604
Os 0.000 0.000 0.007
Cr 0.000 0.000 6.137
Cr 2.264 2.264 1.540
```

Output
E: -131.8 eV per cell
Symmetry: P4_2nm (102)



Density functional theory data (GGA+U) for a relaxed structure of PaCr2GeO8.

Geometry as extended XYZ:
```
12
Lattice="5.890 0.000 0.000 -2.945 5.101 0.000 0.000 0.000 5.717" Properties=species:S:1:pos:R:3 pbc="T T T"
Ge 0.000 0.000 0.000
O 0.000 3.401 4.696
O 1.618 4.335 1.247
O 0.000 1.532 1.247
O 2.945 1.700 1.021
O 2.945 3.569 4.470
O 1.327 0.766 4.470
O 4.563 0.766 4.470
O -1.618 4.335 1.247
Pa 0.000 0.000 2.858
Cr 2.945 1.700 5.097
Cr 0.000 3.401 0.620
```

Output
E: -89.5 eV per cell
Symmetry: P-3m1 (164)



Density functional theory data (GGA+U) for a relaxed structure of CrGePb2O6.

Geometry as extended XYZ:
```
10
Lattice="-0.910 4.467 -1.259 -4.659 -0.234 2.537 2.334 1.728 4.446" Properties=species:S:1:pos:R:3 pbc="T T T"
O -3.596 3.356 2.123
O -1.347 1.653 3.236
O -0.187 0.918 -0.259
O 0.003 4.365 3.105
O -1.198 3.476 0.818
O -2.395 4.245 4.411
Ge -0.528 2.594 -0.731
Cr -1.705 3.412 2.741
Pb -2.363 0.047 1.222
Pb 1.134 1.028 2.177
```

Output
E: -62.8 eV per cell
Symmetry: P4mm (99)



Density functional theory data (GGA+U) for a relaxed structure of CrGePbO2.

Geometry as extended XYZ:
```
5
Lattice="3.872 0.000 0.000 0.000 6.001 0.000 0.000 0.000 3.872" Properties=species:S:1:pos:R:3 pbc="T T T"
Cr 1.936 3.000 1.936
O 0.000 0.000 1.936
O 1.936 0.000 0.000
Pb 0.000 3.000 0.000
Ge 0.000 0.000 0.000
```

Output
E: -25.9 eV per cell
Symmetry: P4/mmm (123)



Please write out number 2 again, unchanged.
Density functional theory data (GGA+U) for a relaxed structure of PaCr2GeO8.

Geometry as extended XYZ:
```
12
Lattice="5.890 0.000 0.000 -2.945 5.101 0.000 0.000 0.000 5.717" Properties=species:S:1:pos:R:3 pbc="T T T"
Ge 0.000 0.000 0.000
O 0.000 3.401 4.696
O 1.618 4.335 1.247
O 0.000 1.532 1.247
O 2.945 1.700 1.021
O 2.945 3.569 4.470
O 1.327 0.766 4.470
O 4.563 0.766 4.470
O -1.618 4.335 1.247
Pa 0.000 0.000 2.858
Cr 2.945 1.700 5.097
Cr 0.000 3.401 0.620
```

Output
E: -89.5 eV per cell
Symmetry: P-3m1 (164)